The following is a PBE calculation of crystalline Ac2Al4Zn3Ir at its relaxed geometry, from Alexandria via LeMat-Bulk.

Structure (CIF):
```
data_Ac2Al4Zn3Ir
_chemical_formula_sum 'Ac2 Al4 Zn3 Ir1'
_space_group_name_H-M_alt 'P -4 m 2'
_space_group_IT_number 115
_space_group_name_Hall 'P -4 -2'
_cell_length_a 4.4190
_cell_length_b 4.4190
_cell_length_c 10.7659
_cell_angle_alpha 90.00
_cell_angle_beta 90.00
_cell_angle_gamma 90.00
loop_
_atom_site_label
_atom_site_fract_x
_atom_site_fract_y
_atom_site_fract_z
_atom_site_occupancy
Ac1 0.0000 0.5000 0.2420 1
Al1 0.0000 0.0000 0.5000 1
Al2 0.0000 0.5000 0.8830 1
Al3 0.5000 0.5000 0.5000 1
Zn1 0.0000 0.0000 0.0000 1
Zn2 0.0000 0.5000 0.6357 1
Ir1 0.5000 0.5000 0.0000 1
```

Values from the calculation:
N(E_F)   0.60 states/eV/atom
Energy relative to the elements   -0.46 eV per atom
Uncorrected energy   -4.0424 eV per atom


The following is a PBE calculation of crystalline TaIr3 at its relaxed geometry, from Alexandria via LeMat-Bulk.

Structure (CIF):
```
data_TaIr3
_chemical_formula_sum 'Ta1 Ir3'
_space_group_name_H-M_alt 'P m m 2'
_space_group_IT_number 25
_space_group_name_Hall 'P 2 -2'
_cell_length_a 2.8307
_cell_length_b 4.4616
_cell_length_c 4.8278
_cell_angle_alpha 90.00
_cell_angle_beta 90.00
_cell_angle_gamma 90.00
loop_
_atom_site_label
_atom_site_fract_x
_atom_site_fract_y
_atom_site_fract_z
_atom_site_occupancy
Ta1 0.0000 0.0000 0.0000 1
Ir1 0.0000 0.5000 0.6624 1
Ir2 0.5000 0.0000 0.5135 1
Ir3 0.5000 0.5000 0.1753 1
```

Values from the calculation:
N(E_F)   0.54 states/eV/atom
Energy relative to the elements   -0.45 eV per atom
Uncorrected energy   -10.0629 eV per atom


The following is a PBE calculation of crystalline SmU2S6 at its relaxed geometry, from Alexandria via LeMat-Bulk.

Structure (CIF):
```
data_SmU2S6
_chemical_formula_sum 'Sm2 U4 S12'
_space_group_name_H-M_alt 'C 1 2/m 1'
_space_group_IT_number 12
_space_group_name_Hall '-C 2y'
_cell_length_a 13.5005
_cell_length_b 5.1301
_cell_length_c 8.9000
_cell_angle_alpha 90.00
_cell_angle_beta 126.65
_cell_angle_gamma 90.00
loop_
_atom_site_label
_atom_site_fract_x
_atom_site_fract_y
_atom_site_fract_z
_atom_site_occupancy
Sm1 0.0000 0.0000 0.0000 1
U1 0.1820 0.0000 0.6067 1
S1 0.0372 0.0000 0.7173 1
S2 0.1327 0.5000 0.0584 1
S3 0.2414 0.5000 0.6198 1
```

Values from the calculation:
N(E_F)   1.11 states/eV/atom
Uncorrected energy   -7.2006 eV per atom


The following is a PBE calculation of crystalline Er8Te4P3S at its relaxed geometry, from Alexandria via LeMat-Bulk.

Structure (CIF):
```
data_Er8Te4P3S
_chemical_formula_sum 'Er24 Te12 P9 S3'
_space_group_name_H-M_alt 'R -3 m'
_space_group_IT_number 166
_space_group_name_Hall '-R 3 2"'
_cell_length_a 8.1221
_cell_length_b 8.1221
_cell_length_c 20.9739
_cell_angle_alpha 90.00
_cell_angle_beta 90.00
_cell_angle_gamma 120.00
loop_
_atom_site_label
_atom_site_fract_x
_atom_site_fract_y
_atom_site_fract_z
_atom_site_occupancy
Er1 0.0000 0.0000 0.2359 1
Er2 0.0036 0.5018 0.7644 1
Te1 0.0000 0.0000 0.0000 1
Te2 0.0000 0.5000 0.0000 1
P1 0.0000 0.5000 0.5000 1
S1 0.0000 0.0000 0.5000 1
```

Values from the calculation:
N(E_F)   0.44 states/eV/atom
Uncorrected energy   -5.8913 eV per atom


The following is a PBE calculation of crystalline LiCa2Si3Pt4 at its relaxed geometry, from Alexandria via LeMat-Bulk.

Structure (CIF):
```
data_LiCa2Si3Pt4
_chemical_formula_sum 'Li1 Ca2 Si3 Pt4'
_space_group_name_H-M_alt 'P -4 m 2'
_space_group_IT_number 115
_space_group_name_Hall 'P -4 -2'
_cell_length_a 4.1821
_cell_length_b 4.1821
_cell_length_c 10.0859
_cell_angle_alpha 90.00
_cell_angle_beta 90.00
_cell_angle_gamma 90.00
loop_
_atom_site_label
_atom_site_fract_x
_atom_site_fract_y
_atom_site_fract_z
_atom_site_occupancy
Li1 0.0000 0.0000 0.0000 1
Ca1 0.0000 0.5000 0.7561 1
Si1 0.0000 0.5000 0.3680 1
Si2 0.5000 0.5000 0.0000 1
Pt1 0.0000 0.0000 0.5000 1
Pt2 0.0000 0.5000 0.1331 1
Pt3 0.5000 0.5000 0.5000 1
```

Values from the calculation:
N(E_F)   0.65 states/eV/atom
Uncorrected energy   -5.5837 eV per atom


The following is a PBE calculation of crystalline CaLa2BiO6 at its relaxed geometry, from Alexandria via LeMat-Bulk.

Structure (CIF):
```
data_CaLa2BiO6
_chemical_formula_sum 'Ca3 La6 Bi3 O18'
_space_group_name_H-M_alt 'R -3'
_space_group_IT_number 148
_space_group_name_Hall '-R 3'
_cell_length_a 6.1435
_cell_length_b 6.1435
_cell_length_c 15.4398
_cell_angle_alpha 90.00
_cell_angle_beta 90.00
_cell_angle_gamma 120.00
loop_
_atom_site_label
_atom_site_fract_x
_atom_site_fract_y
_atom_site_fract_z
_atom_site_occupancy
Ca1 0.0000 0.0000 0.0000 1
La1 0.0000 0.0000 0.2809 1
Bi1 0.0000 0.0000 0.5000 1
O1 0.0298 0.7297 0.5937 1
```

Values from the calculation:
N(E_F)   0.50 states/eV/atom
Uncorrected energy   -7.1242 eV per atom


The following is a PBE calculation of crystalline Nd2Si3Rh2 at its relaxed geometry, from Alexandria via LeMat-Bulk.

Structure (CIF):
```
data_Nd2Si3Rh2
_chemical_formula_sum 'Nd4 Si6 Rh4'
_space_group_name_H-M_alt 'C 1 2/m 1'
_space_group_IT_number 12
_space_group_name_Hall '-C 2y'
_cell_length_a 10.8843
_cell_length_b 4.0391
_cell_length_c 6.9969
_cell_angle_alpha 90.00
_cell_angle_beta 119.92
_cell_angle_gamma 90.00
loop_
_atom_site_label
_atom_site_fract_x
_atom_site_fract_y
_atom_site_fract_z
_atom_site_occupancy
Nd1 0.1394 0.0000 0.2648 1
Si1 0.0000 0.5000 0.5000 1
Si2 0.1435 0.5000 0.9334 1
Rh1 0.1327 0.0000 0.7200 1
```

Values from the calculation:
N(E_F)   0.63 states/eV/atom
Uncorrected energy   -6.5750 eV per atom


The following is a PBE calculation of crystalline HfMgPt2 at its relaxed geometry, from Alexandria via LeMat-Bulk.

Structure (CIF):
```
data_HfMgPt2
_chemical_formula_sum 'Hf4 Mg4 Pt8'
_space_group_name_H-M_alt 'C m c m'
_space_group_IT_number 63
_space_group_name_Hall '-C 2c 2'
_cell_length_a 6.7304
_cell_length_b 9.0185
_cell_length_c 4.6365
_cell_angle_alpha 90.00
_cell_angle_beta 90.00
_cell_angle_gamma 90.00
loop_
_atom_site_label
_atom_site_fract_x
_atom_site_fract_y
_atom_site_fract_z
_atom_site_occupancy
Hf1 0.0000 0.1374 0.2500 1
Mg1 0.0000 0.3917 0.7500 1
Pt1 0.2250 0.1289 0.7500 1
```

Values from the calculation:
N(E_F)   0.48 states/eV/atom
Energy relative to the elements   -1.01 eV per atom
Uncorrected energy   -6.9154 eV per atom


The following is a PBE calculation of crystalline BaTeP2 at its relaxed geometry, from Alexandria via LeMat-Bulk.

Structure (CIF):
```
data_BaTeP2
_chemical_formula_sum 'Ba1 Te1 P2'
_space_group_name_H-M_alt 'P 1 2/m 1'
_space_group_IT_number 10
_space_group_name_Hall '-P 2y'
_cell_length_a 4.9310
_cell_length_b 4.5484
_cell_length_c 5.5960
_cell_angle_alpha 90.00
_cell_angle_beta 96.42
_cell_angle_gamma 90.00
loop_
_atom_site_label
_atom_site_fract_x
_atom_site_fract_y
_atom_site_fract_z
_atom_site_occupancy
Ba1 0.0000 0.0000 0.0000 1
Te1 0.5000 0.0000 0.5000 1
P1 0.4004 0.5000 0.8225 1
```

Values from the calculation:
N(E_F)   0.30 states/eV/atom
Uncorrected energy   -4.4828 eV per atom


The following is a PBE calculation of crystalline KTlIN2 at its relaxed geometry, from Alexandria via LeMat-Bulk.

Structure (CIF):
```
data_KTlIN2
_chemical_formula_sum 'K1 Tl1 I1 N2'
_space_group_name_H-M_alt 'P 4/m m m'
_space_group_IT_number 123
_space_group_name_Hall '-P 4 2'
_cell_length_a 4.7441
_cell_length_b 4.7441
_cell_length_c 6.5371
_cell_angle_alpha 90.00
_cell_angle_beta 90.00
_cell_angle_gamma 90.00
loop_
_atom_site_label
_atom_site_fract_x
_atom_site_fract_y
_atom_site_fract_z
_atom_site_occupancy
K1 0.0000 0.0000 0.0000 1
Tl1 0.5000 0.5000 0.5000 1
I1 0.5000 0.5000 0.0000 1
N1 0.0000 0.5000 0.5000 1
```

Values from the calculation:
N(E_F)   0.52 states/eV/atom
Uncorrected energy   -3.2641 eV per atom


The following is a PBE calculation of crystalline MgTiN3 at its relaxed geometry, from Alexandria via LeMat-Bulk.

Structure (CIF):
```
data_MgTiN3
_chemical_formula_sum 'Mg1 Ti1 N3'
_space_group_name_H-M_alt 'P m -3 m'
_space_group_IT_number 221
_space_group_name_Hall '-P 4 2 3'
_cell_length_a 3.9041
_cell_length_b 3.9041
_cell_length_c 3.9041
_cell_angle_alpha 90.00
_cell_angle_beta 90.00
_cell_angle_gamma 90.00
loop_
_atom_site_label
_atom_site_fract_x
_atom_site_fract_y
_atom_site_fract_z
_atom_site_occupancy
Mg1 0.0000 0.0000 0.0000 1
Ti1 0.5000 0.5000 0.5000 1
N1 0.0000 0.5000 0.5000 1
```

Values from the calculation:
N(E_F)   0.74 states/eV/atom
Uncorrected energy   -6.7016 eV per atom


The following is a PBE calculation of crystalline MnHg2Os at its relaxed geometry, from Alexandria via LeMat-Bulk.

Structure (CIF):
```
data_MnHg2Os
_chemical_formula_sum 'Mn4 Hg8 Os4'
_space_group_name_H-M_alt 'F m -3 m'
_space_group_IT_number 225
_space_group_name_Hall '-F 4 2 3'
_cell_length_a 6.5589
_cell_length_b 6.5589
_cell_length_c 6.5589
_cell_angle_alpha 90.00
_cell_angle_beta 90.00
_cell_angle_gamma 90.00
loop_
_atom_site_label
_atom_site_fract_x
_atom_site_fract_y
_atom_site_fract_z
_atom_site_occupancy
Mn1 0.0000 0.0000 0.0000 1
Hg1 0.2500 0.2500 0.2500 1
Os1 0.0000 0.0000 0.5000 1
```

Values from the calculation:
N(E_F)   0.82 states/eV/atom
Energy relative to the elements   0.75 eV per atom
Uncorrected energy   -4.4985 eV per atom